Entry 1:
Here is NaSr2LiPd after structural relaxation from the Alexandria database. Energies are from PBE.

Calculated values
**Formation energy from the elements**: -0.1127 eV/atom
**E_tot**: -0.182 Ry per atom
**E above lowest polymorph**: 86 meV per atom
**Symmetry**: P4/mmm

abc: 5.9279 5.9279 5.5638
angles: 90.00 90.00 90.00
Closest atoms and distances in Å follow each position.
Sites, in units of the cell vectors:
Na (0.0000, 0.0000, 0.0000)  2 Pd 2.78
Sr (0.0000, 0.5000, 0.5000)  2 Pd 2.96
Sr (0.5000, 0.0000, 0.5000)  2 Pd 2.96
Li (0.5000, 0.5000, 0.0000)  8 Sr 4.06, 4 Na 4.19
Pd (0.0000, 0.0000, 0.5000)  2 Na 2.78, 4 Sr 2.96

***

Entry 2:
Here is NaSrLi2Pd after structural relaxation from the Alexandria database. Energies are from PBE.

Calculated values
**Formation energy from the elements**: -0.0790 eV/atom
**E_tot**: -0.183 Ry per atom
**E above lowest polymorph**: 0 meV per atom
**Symmetry**: P4/mmm

abc: 5.1823 5.1823 5.7376
angles: 90.00 90.00 90.00
Closest atoms and distances in Å follow each position.
Sites, in units of the cell vectors:
Na (0.0000, 0.0000, 0.0000)  4 Sr 3.66, 8 Li 3.87
Sr (0.5000, 0.5000, 0.0000)  2 Pd 2.87
Li (0.0000, 0.5000, 0.5000)  2 Pd 2.59
Li (0.5000, 0.0000, 0.5000)  2 Pd 2.59
Pd (0.5000, 0.5000, 0.5000)  4 Li 2.59, 2 Sr 2.87

***

Entry 3:
Here is NaSr2LiPd after structural relaxation from the Alexandria database. Energies are from PBE.

Calculated values
**Formation energy from the elements**: -0.1990 eV/atom
**E_tot**: -0.188 Ry per atom
**E above lowest polymorph**: 0 meV per atom
**Symmetry**: P4/mmm

abc: 5.9885 5.9885 5.0899
angles: 90.00 90.00 90.00
Closest atoms and distances in Å follow each position.
Sites, in units of the cell vectors:
Na (0.0000, 0.0000, 0.0000)  8 Sr 3.93, 4 Li 4.23
Sr (0.0000, 0.5000, 0.5000)  2 Pd 2.99
Sr (0.5000, 0.0000, 0.5000)  2 Pd 2.99
Li (0.5000, 0.5000, 0.0000)  2 Pd 2.54
Pd (0.5000, 0.5000, 0.5000)  2 Li 2.54

***

Entry 4:
Here is NaSrLi2Pd after structural relaxation from the Alexandria database. Energies are from PBE.

Calculated values
**Formation energy from the elements**: -0.0504 eV/atom
**E_tot**: -0.180 Ry per atom
**E above lowest polymorph**: 29 meV per atom
**Symmetry**: P4/mmm

abc: 5.0268 5.0268 5.4177
angles: 90.00 90.00 90.00
Closest atoms and distances in Å follow each position.
Sites, in units of the cell vectors:
Na (0.0000, 0.0000, 0.0000)  2 Pd 2.71
Sr (0.5000, 0.5000, 0.0000)  4 Na 3.55, 8 Li 3.70
Li (0.0000, 0.5000, 0.5000)  2 Pd 2.51
Li (0.5000, 0.0000, 0.5000)  2 Pd 2.51
Pd (0.0000, 0.0000, 0.5000)  4 Li 2.51, 2 Na 2.71